Here is a relaxed BePdPtAu crystal from Alexandria. Energies are from PBE.

Geometry as extended XYZ:
```
4
Lattice="2.824 0.000 0.000 0.000 2.824 0.000 0.000 0.000 7.104" Properties=species:S:1:pos:R:3 pbc="T T T"
Be 0.000 0.000 0.000
Pd 1.412 1.412 1.437
Pt 1.412 1.412 5.746
Au 0.000 0.000 3.559
```

## Properties
As for the symmetry: P4mm (99). The formation energy is -1.6 eV per formula unit.